An optimized crystal structure of Sn2HgP. Source: the Alexandria database, functional GGA-PBE.

Lattice parameters (Å, degrees): 5.1326 5.1326 5.1326 60.00 60.00 60.00
Atoms (fractional coordinates):
1 P 0.0000 0.0000 0.0000
2 Hg 0.5000 0.5000 0.5000
3 Sn 0.2500 0.2500 0.2500
4 Sn 0.7500 0.7500 0.7500

Calculated formation energy   275 meV per atom
Magnetization   0.0 μB per formula unit
Uncorrected energy   -3.154 eV per atom
Symmetry   Fm-3m
Relative energy among the computed polymorphs   0.266 eV per atom